No. 1
DFT (PBE-GGA) results for a relaxed PaGaAgAu crystal.

Output
Energy of formation: -0.202 eV/atom
Uncorrected energy: -19.461 eV per formula unit

abc: 6.895 6.895 6.895
angles: 90.00 90.00 90.00
Space group F-43m (No. 216)
Symmetry-distinct sites (fractional):
Pa: 0.000 0.000 0.000 x4
Ga: 0.250 0.250 0.750 x4
Ag: 0.000 0.000 0.500 x4
Au: 0.250 0.250 0.250 x4

No. 2
DFT (PBE-GGA) results for a relaxed Ga3AgPb2Au4 crystal.

Output
Energy of formation: -0.097 eV/atom
Uncorrected energy: -33.424 eV per formula unit

abc: 4.271 4.271 11.877
angles: 90.00 90.00 90.00
Space group P-4m2 (No. 115)
Symmetry-distinct sites (fractional):
Ga: 0.000 0.000 0.000 x1
Ga: 0.000 0.500 0.632 x2
Ag: 0.500 0.500 0.000 x1
Pb: 0.000 0.500 0.247 x2
Au: 0.000 0.000 0.500 x1
Au: 0.000 0.500 0.848 x2
Au: 0.500 0.500 0.500 x1

No. 3
DFT (PBE-GGA) results for a relaxed Ga2AgPbAu4 crystal.

Output
Energy of formation: -0.073 eV/atom
Uncorrected energy: -26.307 eV per formula unit

abc: 4.4182 4.4182 29.0657
angles: 90.00 90.00 120.00
Space group R-3m (No. 166, hexagonal axes)
Symmetry-distinct sites (fractional):
Ga: 0.0000 0.0000 0.2384 x6
Ag: 0.0000 0.0000 0.5000 x3
Pb: 0.0000 0.0000 0.0000 x3
Au: 0.0000 0.0000 0.1236 x6
Au: 0.0000 0.0000 0.3954 x6

No. 4
DFT (PBE-GGA) results for a relaxed Ga3AgPb2Au12 crystal.

Output
Energy of formation: 0.076 eV/atom
Uncorrected energy: -57.311 eV per formula unit

abc: 8.8144 8.8144 18.1742
angles: 90.00 90.00 120.00
Space group R-3m (No. 166, hexagonal axes)
Symmetry-distinct sites (fractional):
Ga: 0.0000 0.5000 0.0000 x9
Ag: 0.0000 0.0000 0.5000 x3
Pb: 0.0000 0.0000 0.0955 x6
Au: 0.0227 0.5114 0.8571 x18
Au: 0.0312 0.5156 0.3843 x18

No. 5
DFT (PBE-GGA) results for a relaxed Ga2AgPdAu4 crystal.

Output
Energy of formation: 0.002 eV/atom
Uncorrected energy: -27.192 eV per formula unit

abc: 3.880 3.880 10.385
angles: 90.00 90.00 90.00
Space group P4/mmm (No. 123)
Symmetry-distinct sites (fractional):
Ga: 0.000 0.000 0.118 x2
Ag: 0.500 0.500 0.500 x1
Pd: 0.500 0.500 0.000 x1
Au: 0.000 0.500 0.293 x4

No. 6
DFT (PBE-GGA) results for a relaxed PmGaAg2Au4 crystal.

Output
Energy of formation: -0.318 eV/atom
Uncorrected energy: -29.136 eV per formula unit

abc: 4.8577 4.8577 23.1105
angles: 90.00 90.00 120.00
Space group R-3m (No. 166, hexagonal axes)
Symmetry-distinct sites (fractional):
Pm: 0.0000 0.0000 0.0000 x3
Ga: 0.0000 0.0000 0.5000 x3
Ag: 0.0000 0.0000 0.2569 x6
Au: 0.0000 0.0000 0.1330 x6
Au: 0.0000 0.0000 0.3877 x6

No. 7
DFT (PBE-GGA) results for a relaxed Pm4GaAg2Au crystal.

Output
Energy of formation: -0.478 eV/atom
Uncorrected energy: -34.831 eV per formula unit

abc: 5.2334 5.2334 25.7480
angles: 90.00 90.00 120.00
Space group R-3m (No. 166, hexagonal axes)
Symmetry-distinct sites (fractional):
Pm: 0.0000 0.0000 0.1238 x6
Pm: 0.0000 0.0000 0.3744 x6
Ga: 0.0000 0.0000 0.5000 x3
Ag: 0.0000 0.0000 0.2459 x6
Au: 0.0000 0.0000 0.0000 x3

No. 8
DFT (PBE-GGA) results for a relaxed PmGa2AgAu5 crystal.

Output
Energy of formation: -0.278 eV/atom
Uncorrected energy: -32.540 eV per formula unit

abc: 4.903 4.903 7.742
angles: 90.00 90.00 90.00
Space group P4/mmm (No. 123)
Symmetry-distinct sites (fractional):
Pm: 0.000 0.000 0.000 x1
Ga: 0.500 0.500 0.343 x2
Ag: 0.000 0.000 0.500 x1
Au: 0.000 0.500 0.245 x4
Au: 0.500 0.500 0.000 x1

No. 9
DFT (PBE-GGA) results for a relaxed PmGa2AgAu4 crystal.

Output
Energy of formation: -0.369 eV/atom
Uncorrected energy: -29.718 eV per formula unit

abc: 4.5282 4.5282 27.0362
angles: 90.00 90.00 120.00
Space group R-3m (No. 166, hexagonal axes)
Symmetry-distinct sites (fractional):
Pm: 0.0000 0.0000 0.0000 x3
Ga: 0.0000 0.0000 0.2446 x6
Ag: 0.0000 0.0000 0.5000 x3
Au: 0.0000 0.0000 0.1247 x6
Au: 0.0000 0.0000 0.3935 x6

No. 10
DFT (PBE-GGA) results for a relaxed PmGa2AgAu2 crystal.

Output
Energy of formation: -0.503 eV/atom
Uncorrected energy: -23.231 eV per formula unit

abc: 4.5367 4.5367 6.7605
angles: 90.00 90.00 120.00
Space group P-3m1 (No. 164)
Symmetry-distinct sites (fractional):
Pm: 0.0000 0.0000 0.0000 x1
Ga: 0.3333 0.6667 0.2867 x2
Ag: 0.0000 0.0000 0.5000 x1
Au: 0.3333 0.6667 0.7225 x2

No. 11
DFT (PBE-GGA) results for a relaxed PmGaAgAu crystal.

Output
Energy of formation: -0.479 eV/atom
Uncorrected energy: -15.822 eV per formula unit

abc: 6.958 6.958 6.958
angles: 90.00 90.00 90.00
Space group F-43m (No. 216)
Symmetry-distinct sites (fractional):
Pm: 0.000 0.000 0.000 x4
Ga: 0.250 0.250 0.250 x4
Ag: 0.000 0.000 0.500 x4
Au: 0.250 0.250 0.750 x4

No. 12
DFT (PBE-GGA) results for a relaxed Pm2Ga4AgAu3 crystal.

Output
Energy of formation: -0.587 eV/atom
Uncorrected energy: -40.166 eV per formula unit

abc: 4.399 4.399 10.668
angles: 90.00 90.00 90.00
Space group P-4m2 (No. 115)
Symmetry-distinct sites (fractional):
Pm: 0.000 0.500 0.249 x2
Ga: 0.000 0.000 0.000 x1
Ga: 0.000 0.500 0.634 x2
Ga: 0.500 0.500 0.000 x1
Ag: 0.000 0.000 0.500 x1
Au: 0.000 0.500 0.868 x2
Au: 0.500 0.500 0.500 x1

No. 13
DFT (PBE-GGA) results for a relaxed Pr2Ga3AgAu4 crystal.

Output
Energy of formation: -0.559 eV/atom
Uncorrected energy: -40.193 eV per formula unit

abc: 4.412 4.412 11.046
angles: 90.00 90.00 90.00
Space group P-4m2 (No. 115)
Symmetry-distinct sites (fractional):
Pr: 0.000 0.500 0.242 x2
Ga: 0.000 0.500 0.873 x2
Ga: 0.500 0.500 0.500 x1
Ag: 0.000 0.000 0.500 x1
Au: 0.000 0.000 0.000 x1
Au: 0.000 0.500 0.646 x2
Au: 0.500 0.500 0.000 x1

No. 14
DFT (PBE-GGA) results for a relaxed PrGa2AgAu2 crystal.

Output
Energy of formation: -0.500 eV/atom
Uncorrected energy: -23.240 eV per formula unit

abc: 4.5409 4.5409 6.8862
angles: 90.00 90.00 120.00
Space group P-3m1 (No. 164)
Symmetry-distinct sites (fractional):
Pr: 0.0000 0.0000 0.0000 x1
Ga: 0.3333 0.6667 0.2921 x2
Ag: 0.0000 0.0000 0.5000 x1
Au: 0.3333 0.6667 0.7158 x2

No. 15
DFT (PBE-GGA) results for a relaxed Pr2Ga6AgAu crystal.

Output
Energy of formation: -0.280 eV/atom
Uncorrected energy: -36.646 eV per formula unit

abc: 6.3612 6.3612 38.3106
angles: 90.00 90.00 120.00
Space group R-3m (No. 166, hexagonal axes)
Symmetry-distinct sites (fractional):
Pr: 0.0000 0.0000 0.1338 x6
Pr: 0.0000 0.0000 0.3122 x6
Ga: 0.0508 0.5254 0.7210 x18
Ga: 0.0659 0.5329 0.8771 x18
Ag: 0.0000 0.0000 0.0000 x3
Ag: 0.0000 0.0000 0.5000 x3
Au: 0.0000 0.0000 0.4228 x6

No. 16
DFT (PBE-GGA) results for a relaxed Pr2Ga4AgAu3 crystal.

Output
Energy of formation: -0.601 eV/atom
Uncorrected energy: -40.365 eV per formula unit

abc: 4.448 4.448 10.615
angles: 90.00 90.00 90.00
Space group P-4m2 (No. 115)
Symmetry-distinct sites (fractional):
Pr: 0.000 0.500 0.249 x2
Ga: 0.000 0.000 0.000 x1
Ga: 0.000 0.500 0.633 x2
Ga: 0.500 0.500 0.000 x1
Ag: 0.000 0.000 0.500 x1
Au: 0.000 0.500 0.870 x2
Au: 0.500 0.500 0.500 x1

No. 17
DFT (PBE-GGA) results for a relaxed Pu4GaAgAu2 crystal.

Output
Energy of formation: -0.219 eV/atom
Uncorrected energy: -71.516 eV per formula unit

abc: 5.1430 5.1430 25.2510
angles: 90.00 90.00 120.00
Space group R-3m (No. 166, hexagonal axes)
Symmetry-distinct sites (fractional):
Pu: 0.0000 0.0000 0.1217 x6
Pu: 0.0000 0.0000 0.3712 x6
Ga: 0.0000 0.0000 0.0000 x3
Ag: 0.0000 0.0000 0.5000 x3
Au: 0.0000 0.0000 0.2468 x6

No. 18
DFT (PBE-GGA) results for a relaxed Pu2Ga3AgAu12 crystal.

Output
Energy of formation: -0.076 eV/atom
Uncorrected energy: -81.297 eV per formula unit

abc: 6.4617 6.4617 32.9434
angles: 90.00 90.00 120.00
Space group R-3m (No. 166, hexagonal axes)
Symmetry-distinct sites (fractional):
Pu: 0.0000 0.0000 0.1390 x6
Ga: 0.0000 0.5000 0.0000 x9
Ag: 0.0000 0.0000 0.5000 x3
Au: 0.0319 0.5160 0.8869 x18
Au: 0.0449 0.5225 0.6172 x18

No. 19
DFT (PBE-GGA) results for a relaxed PuGa3AgAu crystal.

Output
Energy of formation: 0.004 eV/atom
Uncorrected energy: -29.515 eV per formula unit

abc: 5.839 17.085 5.703
angles: 90.00 90.00 90.00
Space group Cmcm (No. 63)
Symmetry-distinct sites (fractional):
Pu: 0.000 0.174 0.250 x4
Ga: 0.000 0.255 0.750 x4
Ga: 0.237 0.000 0.000 x8
Ag: 0.000 0.404 0.750 x4
Au: 0.000 0.108 0.750 x4

No. 20
DFT (PBE-GGA) results for a relaxed Pu2Ga4AgAu3 crystal.

Output
Energy of formation: -0.355 eV/atom
Uncorrected energy: -57.008 eV per formula unit

abc: 4.304 4.304 11.125
angles: 90.00 90.00 90.00
Space group P-4m2 (No. 115)
Symmetry-distinct sites (fractional):
Pu: 0.000 0.500 0.249 x2
Ga: 0.000 0.000 0.000 x1
Ga: 0.000 0.500 0.637 x2
Ga: 0.500 0.500 0.000 x1
Ag: 0.000 0.000 0.500 x1
Au: 0.000 0.500 0.863 x2
Au: 0.500 0.500 0.500 x1

No. 21
DFT (PBE-GGA) results for a relaxed Ga2AgSb2Au7 crystal.

Output
Formation energy (no corrections): -0.6 eV/f.u.
Uncorrected energy: -40.738 eV per formula unit

abc: 5.722 5.728 16.241
angles: 90.00 99.74 90.00
Space group C2/m (No. 12)
Symmetry-distinct sites (fractional):
Ga: 0.120 0.000 0.247 x4
Ag: 0.000 0.500 0.000 x2
Sb: 0.211 0.500 0.422 x4
Au: 0.000 0.000 0.000 x2
Au: 0.181 0.250 0.860 x8
Au: 0.202 0.000 0.404 x4

No. 22
DFT (PBE-GGA) results for a relaxed Sc4GaAgAu2 crystal.

Output
Energy of formation: -0.626 eV/atom
Uncorrected energy: -42.764 eV per formula unit

abc: 4.8112 4.8112 23.6154
angles: 90.00 90.00 120.00
Space group R-3m (No. 166, hexagonal axes)
Symmetry-distinct sites (fractional):
Sc: 0.0000 0.0000 0.1238 x6
Sc: 0.0000 0.0000 0.3737 x6
Ga: 0.0000 0.0000 0.0000 x3
Ag: 0.0000 0.0000 0.5000 x3
Au: 0.0000 0.0000 0.2492 x6

No. 23
DFT (PBE-GGA) results for a relaxed SmGa2AgAu5 crystal.

Output
Energy of formation: -0.277 eV/atom
Uncorrected energy: -32.500 eV per formula unit

abc: 4.889 4.889 7.753
angles: 90.00 90.00 90.00
Space group P4/mmm (No. 123)
Symmetry-distinct sites (fractional):
Sm: 0.000 0.000 0.000 x1
Ga: 0.500 0.500 0.344 x2
Ag: 0.000 0.000 0.500 x1
Au: 0.000 0.500 0.243 x4
Au: 0.500 0.500 0.000 x1